Computed, not measured: crystalline NaCuSi2Pb at its relaxed geometry at the PBE level of DFT.

Calculated values
Formation energy (no corrections) = 0.4337 eV per atom
SG = P4/mmm
Calculated total energy = -17.80 eV for the cell shown
Density = 5.0 g cm⁻³

Cell: 4.572 4.572 5.611 Å, 90.00 90.00 90.00°
Positions (direct):
1 Na 0.000 0.000 0.000
2 Cu 0.500 0.500 0.500
3 Si 0.000 0.500 0.500
4 Si 0.500 0.000 0.500
5 Pb 0.500 0.500 0.000

Computed, not measured: crystalline NaSmCuPb at its relaxed geometry at the PBE level of DFT.

Calculated values
SG = F-43m
Calculated total energy = -14.31 eV for the cell shown
Density = 7.4 g cm⁻³

Cell: 5.198 5.198 5.198 Å, 60.00 60.00 60.00°
Positions (direct):
1 Na 0.000 0.000 0.000
2 Sm 0.500 0.500 0.500
3 Cu 0.250 0.250 0.250
4 Pb 0.750 0.750 0.750

Computed, not measured: crystalline NaTl2CuPb at its relaxed geometry at the PBE level of DFT.

Calculated values
SG = P4/mmm
Calculated total energy = -13.25 eV for the cell shown
Density = 7.8 g cm⁻³

Cell: 5.306 5.306 5.336 Å, 90.00 90.00 90.00°
Positions (direct):
1 Na 0.000 0.000 0.000
2 Tl 0.000 0.500 0.500
3 Tl 0.500 0.000 0.500
4 Cu 0.500 0.500 0.500
5 Pb 0.500 0.500 0.000

Computed, not measured: crystalline NaCuPd at its relaxed geometry at the PBE level of DFT.

Calculated values
SG = P-1
Energy above the most stable polymorph in this dataset = 155 meV per atom
Calculated total energy = -20.99 eV for the cell shown
Density = 5.8 g cm⁻³

Cell: 2.860 6.095 7.140 Å, 115.09 101.54 90.11°
Positions (direct):
1 Na 0.182 0.182 0.365
2 Na 0.818 0.818 0.635
3 Cu 0.106 0.603 0.208
4 Cu 0.894 0.397 0.792
5 Pd 0.499 0.220 0.000
6 Pd 0.501 0.780 0.000

Computed, not measured: crystalline NaCu2Pd at its relaxed geometry at the PBE level of DFT.

Calculated values
SG = Fm-3m
Energy above the most stable polymorph in this dataset = 25 meV per atom
Calculated total energy = -14.23 eV for the cell shown
Density = 7.1 g cm⁻³

Cell: 4.400 4.400 4.400 Å, 60.00 60.00 60.00°
Positions (direct):
1 Na 0.000 0.000 0.000
2 Cu 0.250 0.250 0.250
3 Cu 0.750 0.750 0.750
4 Pd 0.500 0.500 0.500

Computed, not measured: crystalline NaCuPd3 at its relaxed geometry at the PBE level of DFT.

Calculated values
SG = Pm-3m
Energy above the most stable polymorph in this dataset = 703 meV per atom
Calculated total energy = -15.38 eV for the cell shown
Density = 6.9 g cm⁻³

Cell: 4.609 4.609 4.609 Å, 90.00 90.00 90.00°
Positions (direct):
1 Na 0.000 0.000 0.000
2 Cu 0.500 0.500 0.500
3 Pd 0.000 0.000 0.500
4 Pd 0.000 0.500 0.000
5 Pd 0.500 0.000 0.000